1.
A geometry-optimized LaMoRu structure. Source: Alexandria, functional PBE.

Geometry as POSCAR:
```
LaMoRu
1.0
4.639 0.000 0.000
-2.320 4.018 0.000
0.000 0.000 3.048
La Mo Ru
1 1 1
direct
0.000 0.000 0.000 La
0.333 0.667 0.307 Mo
0.667 0.333 0.657 Ru
```

Computed properties:
Energy relative to the elements, eV per formula unit: 1.56
ΔE to the lowest computed polymorph, meV per atom: 362.2


2.
A geometry-optimized DyPaPdRh structure. Source: Alexandria, functional PBE.

Geometry as POSCAR:
```
DyPaPdRh
1.0
6.953 0.000 0.000
0.000 6.953 0.000
0.000 0.000 6.953
Dy Pa Pd Rh
4 4 4 4
direct
0.000 0.000 0.000 Dy
0.000 0.500 0.500 Dy
0.500 0.000 0.500 Dy
0.500 0.500 0.000 Dy
0.000 0.000 0.500 Pa
0.000 0.500 0.000 Pa
0.500 0.000 0.000 Pa
0.500 0.500 0.500 Pa
0.250 0.250 0.750 Pd
0.250 0.750 0.250 Pd
0.750 0.250 0.250 Pd
0.750 0.750 0.750 Pd
0.250 0.250 0.250 Rh
0.250 0.750 0.750 Rh
0.750 0.250 0.750 Rh
0.750 0.750 0.250 Rh
```

Computed properties:
Energy relative to the elements, eV per formula unit: -2.46


3.
A geometry-optimized BaLaSm structure. Source: Alexandria, functional PBE.

Geometry as POSCAR:
```
BaLaSm
1.0
3.860 0.000 0.000
-1.930 3.343 0.000
0.000 0.000 9.659
Ba La Sm
1 1 1
direct
0.000 0.000 0.000 Ba
0.667 0.333 0.361 La
0.333 0.667 0.654 Sm
```

Computed properties:
Energy relative to the elements, eV per formula unit: 0.43
ΔE to the lowest computed polymorph, meV per atom: 14.7


4.
A geometry-optimized TaCoRe4 structure. Source: Alexandria, functional PBE.

Geometry as POSCAR:
```
TaCoRe4
1.0
0.000 3.635 3.635
3.635 0.000 3.635
3.635 3.635 0.000
Ta Co Re
1 1 4
direct
0.000 0.000 0.000 Ta
0.750 0.750 0.750 Co
0.376 0.376 0.376 Re
0.376 0.376 0.873 Re
0.376 0.873 0.376 Re
0.873 0.376 0.376 Re
```

Computed properties:
Energy relative to the elements, eV per formula unit: 1.41


5.
A geometry-optimized YCd3In structure. Source: Alexandria, functional PBE.

Geometry as POSCAR:
```
YCd3In
1.0
7.592 -2.473 0.000
7.592 2.473 0.000
-1.636 0.000 6.456
Y Cd In
2 6 2
direct
0.118 0.118 0.470 Y
0.882 0.882 0.530 Y
0.091 0.091 0.942 Cd
0.329 0.329 0.788 Cd
0.484 0.484 0.273 Cd
0.516 0.516 0.727 Cd
0.671 0.671 0.212 Cd
0.909 0.909 0.058 Cd
0.284 0.284 0.245 In
0.716 0.716 0.755 In
```

Computed properties:
Energy relative to the elements, eV per formula unit: -1.14
ΔE to the lowest computed polymorph, meV per atom: 0.0


6.
A geometry-optimized Rb2HfClF structure. Source: Alexandria, functional PBE.

Geometry as POSCAR:
```
Rb2HfClF
1.0
5.088 0.000 0.000
0.000 5.088 0.000
0.000 0.000 6.846
Rb Hf Cl F
2 1 1 1
direct
0.000 0.500 0.000 Rb
0.500 0.000 0.000 Rb
0.000 0.000 0.500 Hf
0.500 0.500 0.500 Cl
0.500 0.500 0.000 F
```

Computed properties:
Formation energy (no corrections), kJ/mol of formula units: -191


7.
A geometry-optimized Dy3AlRu3 structure. Source: Alexandria, functional PBE.

Geometry as POSCAR:
```
Dy3AlRu3
1.0
2.064 -5.221 0.000
2.064 5.221 0.000
0.000 0.000 13.433
Dy Al Ru
6 2 6
direct
0.013 0.987 0.750 Dy
0.299 0.701 0.606 Dy
0.299 0.701 0.894 Dy
0.701 0.299 0.106 Dy
0.701 0.299 0.394 Dy
0.987 0.013 0.250 Dy
0.000 0.000 0.000 Al
0.000 0.000 0.500 Al
0.278 0.722 0.250 Ru
0.413 0.587 0.093 Ru
0.413 0.587 0.407 Ru
0.587 0.413 0.593 Ru
0.587 0.413 0.907 Ru
0.722 0.278 0.750 Ru
```

Computed properties:
Energy relative to the elements, eV per formula unit: -3.24


8.
A geometry-optimized LiPaPtAu structure. Source: Alexandria, functional PBE.

Geometry as POSCAR:
```
LiPaPtAu
1.0
6.804 0.000 0.000
0.000 6.804 0.000
0.000 0.000 6.804
Li Pa Pt Au
4 4 4 4
direct
0.000 0.000 0.000 Li
0.000 0.500 0.500 Li
0.500 0.000 0.500 Li
0.500 0.500 0.000 Li
0.000 0.000 0.500 Pa
0.000 0.500 0.000 Pa
0.500 0.000 0.000 Pa
0.500 0.500 0.500 Pa
0.250 0.250 0.750 Pt
0.250 0.750 0.250 Pt
0.750 0.250 0.250 Pt
0.750 0.750 0.750 Pt
0.250 0.250 0.250 Au
0.250 0.750 0.750 Au
0.750 0.250 0.750 Au
0.750 0.750 0.250 Au
```

Computed properties:
Energy relative to the elements, eV per formula unit: -2.30


9.
A geometry-optimized LaAl3Pd2 structure. Source: Alexandria, functional PBE.

Geometry as POSCAR:
```
LaAl3Pd2
1.0
5.555 0.000 0.000
-2.777 4.810 0.000
0.000 0.000 4.231
La Al Pd
1 3 2
direct
0.000 0.000 0.000 La
0.000 0.500 0.500 Al
0.500 0.000 0.500 Al
0.500 0.500 0.500 Al
0.333 0.667 0.000 Pd
0.667 0.333 0.000 Pd
```

Computed properties:
Energy relative to the elements, eV per formula unit: -5.06
ΔE to the lowest computed polymorph, meV per atom: 0.0


10.
A geometry-optimized ThZnAg2 structure. Source: Alexandria, functional PBE.

Geometry as POSCAR:
```
ThZnAg2
1.0
6.926 0.000 0.000
0.000 4.658 0.000
0.000 0.000 10.561
Th Zn Ag
4 4 8
direct
0.000 0.000 0.000 Th
0.000 0.500 0.500 Th
0.500 0.000 0.178 Th
0.500 0.500 0.678 Th
0.189 0.000 0.719 Zn
0.189 0.500 0.219 Zn
0.811 0.000 0.719 Zn
0.811 0.500 0.219 Zn
0.000 0.000 0.287 Ag
0.000 0.500 0.787 Ag
0.300 0.000 0.474 Ag
0.300 0.500 0.974 Ag
0.500 0.000 0.878 Ag
0.500 0.500 0.378 Ag
0.700 0.000 0.474 Ag
0.700 0.500 0.974 Ag
```

Computed properties:
Energy relative to the elements, eV per formula unit: -0.60


11.
A geometry-optimized LaMo structure. Source: Alexandria, functional PBE.

Geometry as POSCAR:
```
LaMo
1.0
4.255 0.000 0.000
-2.127 3.685 0.000
0.000 0.000 15.453
La Mo
4 4
direct
0.333 0.667 0.106 La
0.333 0.667 0.394 La
0.667 0.333 0.606 La
0.667 0.333 0.894 La
0.000 0.000 0.250 Mo
0.000 0.000 0.750 Mo
0.333 0.667 0.750 Mo
0.667 0.333 0.250 Mo
```

Computed properties:
Energy relative to the elements, eV per formula unit: 0.75
ΔE to the lowest computed polymorph, meV per atom: 135.6


12.
A geometry-optimized PrSm2Dy2Y6 structure. Source: Alexandria, functional PBE.

Geometry as POSCAR:
```
PrSm2Dy2Y6
1.0
2.864 -6.032 0.000
2.864 6.032 0.000
-0.016 0.000 10.643
Pr Sm Dy Y
1 2 2 6
direct
0.000 0.000 0.000 Pr
0.366 0.634 0.500 Sm
0.634 0.366 0.500 Sm
0.296 0.704 0.000 Dy
0.704 0.296 0.000 Dy
0.152 0.846 0.293 Y
0.154 0.848 0.707 Y
0.499 0.499 0.211 Y
0.501 0.501 0.789 Y
0.846 0.152 0.293 Y
0.848 0.154 0.707 Y
```

Computed properties:
Energy relative to the elements, eV per formula unit: 1.69